Entry 1:
Sr4PbS5 | GGA-PBE | optimized geometry

Properties
N(E_F) in states/eV/atom: 0.000

a b c (Å): 6.048 7.415 7.415
angles (deg): 80.43 65.93 65.93
Sites, in units of the cell vectors:
Sr: 0.400 0.401 0.802
Sr: 0.800 0.802 0.599
Sr: 0.202 0.198 0.401
Sr: 0.603 0.599 0.198
Pb: 0.002 0.000 0.000
S: 0.901 0.402 0.799
S: 0.303 0.799 0.598
S: 0.699 0.201 0.402
S: 0.102 0.598 0.201
S: 0.499 0.000 0.000

---

Entry 2:
SrPb5S5 | GGA-PBE | optimized geometry

Properties
N(E_F) in states/eV/atom: 0.160

a b c (Å): 5.946 7.240 8.379
angles (deg): 106.85 90.00 114.25
Sites, in units of the cell vectors:
Sr: 0.000 0.000 0.000
Pb: 0.656 0.312 0.342
Pb: 0.662 0.324 0.822
Pb: 0.000 0.000 0.500
Pb: 0.338 0.676 0.178
Pb: 0.344 0.688 0.658
S: 0.826 0.651 0.162
S: 0.832 0.664 0.665
S: 0.500 0.000 0.000
S: 0.168 0.336 0.335
S: 0.174 0.349 0.838

---

| no. | formation energy without anion corrections (eV per atom) |
| --- | --- |
| 1 | -1.832 |
| 2 | -0.700 |